[1]
The following is a GGA-PBE calculation of a relaxed Ho2Pu3ScTe6 crystal, from Alexandria via LeMat-Bulk.

POSCAR file:
```
Ho2Pu3ScTe6
1.0
4.331 0.000 0.000
0.000 8.755 0.235
-2.166 -2.600 9.170
Te Ho Pu Sc
6 2 3 1
Direct
0.000 0.237 0.000
0.332 0.420 0.663
0.000 0.763 0.000
0.668 0.580 0.337
0.339 0.915 0.678
0.661 0.085 0.322
0.166 0.333 0.331
0.834 0.667 0.669
0.169 0.835 0.338
0.500 0.500 0.000
0.831 0.165 0.662
0.500 0.000 0.000
```

Calculated values
The space group is C2/m, No. 12. As for the uncorrected formation energy: -1.166 eV/atom. The density of states at the Fermi level is 32.59 states/eV/f.u. The electronic total energy comes out at -7.611 eV per atom. As for the total magnetic moment: 18.0 μB/cell.

=====

[2]
The following is a GGA-PBE calculation of a relaxed Ho2PuScTe4 crystal, from Alexandria via LeMat-Bulk.

POSCAR file:
```
Ho2PuScTe4
1.0
-4.262 -0.373 -0.397
0.700 -7.441 -0.529
-0.836 1.880 7.205
Te Ho Pu Sc
4 2 1 1
Direct
0.500 0.240 0.244
0.500 0.760 0.756
0.000 0.758 0.250
0.000 0.242 0.750
0.000 0.500 0.500
0.500 0.000 0.500
0.500 0.500 0.000
0.000 0.000 0.000
```

Calculated values
The space group is P2/m, No. 10. As for the uncorrected formation energy: -1.180 eV/atom. The density of states at the Fermi level is 11.80 states/eV/f.u. The electronic total energy comes out at -6.478 eV per atom. As for the total magnetic moment: 6.1 μB/cell.